Entry from Alexandria: SrCd2TeO6 after structural relaxation (PBE).

Cell: 5.7287 5.9326 8.3388 Å, 90.00 90.01 90.00°
Closest atoms and distances in Å follow each position.
Fractional positions:
Cd 0.5013 0.5280 0.7727  4 O 2.27-2.36
O 0.3823 0.8857 0.7088  1 Te 1.99
O 0.8823 0.6143 0.2088  1 Te 1.99
Cd 0.0013 0.9720 0.2727  4 O 2.27-2.36
O 0.6498 0.2618 0.6055  1 Te 1.98
O 0.2078 0.1570 0.4706  1 Te 1.93
Cd 0.4987 0.4720 0.2273  4 O 2.27-2.36
O 0.3502 0.7382 0.3945  1 Te 1.98
O 0.1498 0.2382 0.1055  1 Te 1.98
Te 0.0000 0.5000 0.0000  6 O 1.93-1.99
Sr 0.0000 0.5000 0.5000  6 O 2.37-2.61
O 0.7078 0.3430 0.9706  1 Te 1.93
O 0.2922 0.6570 0.0294  1 Te 1.93
Sr 0.5000 0.0000 0.0000  6 O 2.37-2.61
Cd 0.9987 0.0280 0.7273  4 O 2.27-2.36
O 0.7922 0.8430 0.5294  1 Te 1.93
O 0.1177 0.3857 0.7912  1 Te 1.99
Te 0.5000 0.0000 0.5000  6 O 1.93-1.99
O 0.8502 0.7618 0.8945  1 Te 1.98
O 0.6177 0.1143 0.2912  1 Te 1.99

Properties
The value obtained for the total energy is -5.15 eV per atom. As for the formation energy from raw total energies: -34.73 kcal/mol of atoms.


Entry from Alexandria: MoSe3 after structural relaxation (PBE).

Cell: 4.9533 4.9533 4.9533 Å, 90.00 90.00 90.00°
Closest atoms and distances in Å follow each position.
Fractional positions:
Se 0.0000 0.0000 0.5000  2 Mo 2.48
Se 0.0000 0.5000 0.0000  2 Mo 2.48
Se 0.5000 0.0000 0.0000  2 Mo 2.48
Mo 0.0000 0.0000 0.0000  6 Se 2.48

Properties
The value obtained for the total energy is -5.15 eV per atom. As for the formation energy from raw total energies: 4.01 kcal/mol of atoms.


Entry from Alexandria: LiBeP2 after structural relaxation (PBE).

Cell: 4.8350 4.8350 4.8350 Å, 138.40 138.40 60.30°
Closest atoms and distances in Å follow each position.
Fractional positions:
Be 0.5000 0.5000 0.0000  8 P 2.43-2.71, 4 Li 2.71
P 0.0000 0.0000 0.0000  4 Be 2.43, 4 Li 2.71, 4 P 2.71
P 0.2500 0.7500 0.5000  4 Li 2.43, 4 Be 2.71, 4 P 2.71
Li 0.7500 0.2500 0.5000  8 P 2.43-2.71, 4 Be 2.71

Properties
The value obtained for the formation energy is 0.1145 eV/atom. The value obtained for the total energy is -4.00 eV per atom.


Entry from Alexandria: SrIr4Cl after structural relaxation (PBE).

Cell: 5.4330 5.4330 5.4330 Å, 60.00 60.00 60.00°
Closest atoms and distances in Å follow each position.
Fractional positions:
Sr 0.7500 0.7500 0.7500  12 Ir 3.19, 4 Cl 3.33
Ir 0.3748 0.8755 0.3748  6 Ir 2.71-2.72
Ir 0.3748 0.3748 0.3748  6 Ir 2.71-2.72
Ir 0.8755 0.3748 0.3748  6 Ir 2.71-2.72
Ir 0.3748 0.3748 0.8755  6 Ir 2.71-2.72
Cl 0.0000 0.0000 0.0000  12 Ir 3.18, 4 Sr 3.33

Properties
The value obtained for the total energy is -6.07 eV per atom. As for the formation energy from raw total energies: 9.91 kcal/mol of atoms.